Density functional theory data (GGA+U) for an optimized crystal structure of Li3SmCr4O12.

Values from the calculation:
E_tot in eV per atom: -6.78
Calculated density in kg/m³: 4817

Lattice parameters (Å, degrees): 7.330 7.330 7.330 90.00 90.00 90.00
Space group Im-3 (No. 204)
Inequivalent atoms, fractional coordinates:
Li 0.000 0.000 0.500
Sm 0.000 0.000 0.000
Cr 0.250 0.250 0.250
O 0.000 0.184 0.295